The following is a PBE-GGA calculation of a relaxed structure of TbPm4Ga, from Alexandria via LeMat-Bulk.

a = 3.618 Å, b = 3.618 Å, c = 14.202 Å
α = 90.00°, β = 90.00°, γ = 90.00°
Fractional positions:
Pm (0.500, 0.500, 0.820)
Ga (0.500, 0.500, 0.500)
Tb (0.000, 0.000, 0.000)
Pm (0.000, 0.000, 0.632)
Pm (0.000, 0.000, 0.368)
Pm (0.500, 0.500, 0.180)

Calculated values
- E above lowest polymorph (meV/atom) = 0
- V (Å³ per atom) = 30.98
- total moment (μB/f.u.) = 0.0
- formation energy from the elements (meV per atom) = -164.1
- density of states at the Fermi level (states/eV/cell) = 7.910